Record 1
A plane-wave DFT calculation with PBE-GGA was carried out for TbNi6Pt6 after structural relaxation.

The calculation puts the energy of formation from the pure elements at -322 meV/atom.

It has space group Immm (No. 71), with a = 4.962 Å, b = 8.608 Å, c = 8.762 Å, α = 90.00°, β = 90.00° and γ = 90.00°. The inequivalent atoms are Tb at (0.000, 0.000, 0.000), Ni at (0.000, 0.500, 0.267), Ni at (0.250, 0.250, 0.250), Pt at (0.000, 0.000, 0.342), Pt at (0.000, 0.302, 0.500) and Pt at (0.000, 0.343, 0.000).


Record 2
A plane-wave DFT calculation with PBE-GGA was carried out for Pr7Y2Ho after structural relaxation.

The calculation puts the energy of formation from the pure elements at 632 meV/atom. The value obtained for the energy above the most stable polymorph in this dataset is 2.57 eV per formula unit.

It has space group Cmmm (No. 65), with a = 8.741 Å, b = 17.482 Å, c = 5.539 Å, α = 90.00°, β = 90.00° and γ = 90.00°. The inequivalent atoms are Pr at (0.000, 0.000, 0.000), Pr at (0.000, 0.297, 0.500), Pr at (0.180, 0.391, 0.000), Y at (0.000, 0.208, 0.000) and Ho at (0.000, 0.500, 0.500).


Record 3
A plane-wave DFT calculation with PBE-GGA was carried out for AgHgB3 after structural relaxation.

The calculation puts the energy of formation from the pure elements at 2004 meV/atom. The value obtained for the energy above the most stable polymorph in this dataset is 0.00 eV per formula unit.

It has space group Pm-3m (No. 221), with a = 4.316 Å, b = 4.316 Å, c = 4.316 Å, α = 90.00°, β = 90.00° and γ = 90.00°. The inequivalent atoms are Ag at (0.000, 0.000, 0.000), Hg at (0.500, 0.500, 0.500) and B at (0.000, 0.000, 0.500).


Record 4
A plane-wave DFT calculation with PBE-GGA was carried out for Li4BeCl after structural relaxation.

The energy relative to the elements, uncorrected comes out at 0.21 eV per atom.

It has space group F-43m (No. 216), with a = 7.739 Å, b = 7.739 Å, c = 7.739 Å, α = 90.00°, β = 90.00° and γ = 90.00°. The inequivalent atoms are Li at (0.124, 0.124, 0.124), Be at (0.250, 0.250, 0.750) and Cl at (0.000, 0.000, 0.500).


Record 5
A plane-wave DFT calculation with PBE-GGA was carried out for PmNd6Sm3Y2 after structural relaxation.

The calculation puts the energy of formation from the pure elements at 11 meV/atom.

It has space group C2/m (No. 12), with a = 6.330 Å, b = 10.965 Å, c = 12.056 Å, α = 90.00°, β = 100.09° and γ = 90.00°. The inequivalent atoms are Pm at (0.000, 0.000, 0.000), Nd at (0.250, 0.000, 0.751), Nd at (0.250, 0.167, 0.249), Sm at (0.000, 0.167, 0.500), Sm at (0.000, 0.500, 0.500) and Y at (0.000, 0.333, 0.000).


Record 6
A plane-wave DFT calculation with PBE-GGA was carried out for Al6ZnFe after structural relaxation.

The calculation puts the energy of formation from the pure elements at 29 meV/atom.

It has space group C2/m (No. 12), with a = 6.911 Å, b = 11.990 Å, c = 4.168 Å, α = 90.00°, β = 126.81° and γ = 90.00°. The inequivalent atoms are Al at (0.230, 0.000, 0.230), Al at (0.238, 0.179, 0.738), Zn at (0.000, 0.500, 0.000) and Fe at (0.000, 0.000, 0.500).


Record 7
A plane-wave DFT calculation with PBE-GGA was carried out for TiTlPdSe3 after structural relaxation.

The energy relative to the elements, uncorrected comes out at -0.72 eV per atom.

It has space group P2_1/m (No. 11), with a = 8.182 Å, b = 3.684 Å, c = 10.035 Å, α = 90.00°, β = 111.51° and γ = 90.00°. The inequivalent atoms are Ti at (0.203, 0.250, 0.166), Tl at (0.240, 0.750, 0.721), Pd at (0.415, 0.750, 0.385), Se at (0.044, 0.250, 0.880), Se at (0.234, 0.250, 0.429) and Se at (0.402, 0.750, 0.129).


Record 8
A plane-wave DFT calculation with PBE-GGA was carried out for CeErRuRh after structural relaxation.

The calculation puts the energy of formation from the pure elements at -582 meV/atom. The value obtained for the energy above the most stable polymorph in this dataset is 0.08 eV per formula unit.

It has space group F-43m (No. 216), with a = 6.861 Å, b = 6.861 Å, c = 6.861 Å, α = 90.00°, β = 90.00° and γ = 90.00°. The inequivalent atoms are Ce at (0.000, 0.000, 0.000), Er at (0.000, 0.000, 0.500), Ru at (0.250, 0.250, 0.750) and Rh at (0.250, 0.250, 0.250).


Total magnetic moment list, top to bottom, in μB/cell: 10.7; 0.0; 0.0; 3.3; 0.0; 0.0; 0.0; 0.7
Theoretical density list, top to bottom, in Mg/m³: 14.92; 5.21; 7.04; 1.03; 6.61; 3.40; 7.03; 10.52
DFT total energy list, top to bottom, in eV for the cell shown: -159.51; -89.28; -13.16; -47.79; -120.63; -63.93; -60.45; -117.81